1.
Crystalline Fe2Rh3 at its relaxed geometry. Source: Alexandria via LeMat-Bulk, functional PBEsol.

Output
The calculation puts the polymorph energy (0 for the lowest one) at 64 meV per atom. Its energy of formation from the pure elements is 83 meV/atom. The crystal system is orthorhombic.

The structure in POSCAR format:
```
Fe2Rh3
1.0
4.634 0.000 0.000
2.317 4.460 0.000
-2.317 0.000 6.241
Rh Fe
6 4
direct
0.439 0.098 0.801
0.736 0.902 0.199
0.787 0.402 0.301
0.076 0.000 0.000
0.326 0.500 0.500
0.888 0.598 0.699
0.896 0.053 0.596
0.550 0.553 0.904
0.353 0.947 0.404
0.199 0.447 0.096
```



2.
Crystalline ZnAg2Au at its relaxed geometry. Source: Alexandria via LeMat-Bulk, functional PBEsol.

Output
Its energy of formation from the pure elements is -105 meV/atom. The crystal system is tetragonal.

The structure in POSCAR format:
```
ZnAg2Au
1.0
-0.994 -2.954 2.416
3.055 0.883 2.336
-2.373 2.549 2.140
Au Zn Ag
1 1 2
direct
0.500 0.000 0.500
0.000 0.500 0.500
0.500 0.500 0.000
0.000 0.000 0.000
```



3.
Crystalline AgBi3As at its relaxed geometry. Source: Alexandria via LeMat-Bulk, functional PBEsol.

Output
Its energy of formation from the pure elements is 767 meV/atom. The crystal system is cubic.

The structure in POSCAR format:
```
AgBi3As
1.0
5.373 0.000 0.000
0.000 5.373 0.000
0.000 0.000 5.373
Ag As Bi
1 1 3
direct
0.000 0.000 0.000
0.500 0.500 0.500
0.000 0.500 0.000
0.000 0.000 0.500
0.500 0.000 0.000
```



4.
Crystalline MgSbAs2 at its relaxed geometry. Source: Alexandria via LeMat-Bulk, functional PBEsol.

Output
The calculation puts the polymorph energy (0 for the lowest one) at 229 meV per atom. The calculation puts the uncorrected formation energy at 0.060 eV per atom. The crystal system is orthorhombic.

The structure in POSCAR format:
```
MgSbAs2
1.0
-1.250 3.186 -1.479
-4.240 -1.746 -0.178
1.833 1.031 5.372
Sb As Mg
1 2 1
direct
0.500 0.000 0.000
0.779 0.779 0.558
0.221 0.221 0.442
0.000 0.500 0.000
```



5.
Crystalline Ca2LaZn at its relaxed geometry. Source: Alexandria via LeMat-Bulk, functional PBEsol.

Output
Its energy of formation from the pure elements is -108 meV/atom. The crystal system is tetragonal.

The structure in POSCAR format:
```
Ca2LaZn
1.0
3.650 0.000 0.000
0.000 3.650 0.000
0.000 0.000 9.504
La Zn Ca
1 1 2
direct
0.000 0.000 0.561
0.500 0.500 0.751
0.000 0.000 0.937
0.500 0.500 0.252
```



6.
Crystalline BaSr4U3O14 at its relaxed geometry. Source: Alexandria via LeMat-Bulk, functional PBEsol.

Output
The calculation puts the uncorrected formation energy at -3.190 eV per atom. The crystal system is orthorhombic.

The structure in POSCAR format:
```
BaSr4U3O14
1.0
-6.883 -4.051 -0.606
2.424 -3.037 -7.004
4.531 -8.484 5.246
O Ba U Sr
28 2 6 8
direct
0.968 0.313 0.624
0.032 0.307 0.382
0.507 0.747 0.574
0.935 0.065 0.165
0.307 0.032 0.618
0.532 0.187 0.124
0.247 0.007 0.074
0.493 0.253 0.426
0.435 0.565 0.335
0.565 0.435 0.665
0.993 0.753 0.074
0.007 0.247 0.926
0.532 0.807 0.118
0.747 0.507 0.426
0.187 0.532 0.876
0.687 0.032 0.624
0.032 0.687 0.376
0.468 0.813 0.876
0.807 0.532 0.882
0.253 0.493 0.574
0.468 0.193 0.882
0.813 0.468 0.124
0.693 0.968 0.382
0.193 0.468 0.118
0.065 0.935 0.835
0.968 0.693 0.618
0.313 0.968 0.376
0.753 0.993 0.926
0.500 0.500 0.000
0.000 0.000 0.500
0.000 0.500 0.000
0.500 0.000 0.000
0.000 0.500 0.500
0.500 0.000 0.500
0.500 0.500 0.500
0.000 0.000 0.000
0.251 0.749 0.725
0.229 0.271 0.750
0.271 0.229 0.250
0.249 0.751 0.225
0.729 0.771 0.750
0.751 0.249 0.775
0.771 0.729 0.250
0.749 0.251 0.275
```



Results for DOS at the Fermi energy: 13.0, 1.1, 4.7, 2.1, 3.6, 0.0 (in states/eV per cell, following the order of the records).